# Cr2GaTe PBE-GGA relaxed
data_Cr2GaTe
_cell_length_a 6.264
_cell_length_b 6.264
_cell_length_c 6.264
_cell_angle_alpha 90.00
_cell_angle_beta 90.00
_cell_angle_gamma 90.00
_space_group_name_H-M_alt 'F m -3 m'
_space_group_IT_number 225
_space_group_name_Hall '-F 4 2 3'
loop_
_atom_site_label
_atom_site_type_symbol
_atom_site_fract_x
_atom_site_fract_y
_atom_site_fract_z
Cr1 Cr 0.250 0.250 0.250
Ga1 Ga 0.000 0.000 0.000
Te1 Te 0.000 0.000 0.500
# Density of states at the Fermi level = 17.394 states/eV/cell
# Total energy = -5.945 eV/atom



# LaY2Co PBE-GGA relaxed
data_LaY2Co
_cell_length_a 12.013
_cell_length_b 3.625
_cell_length_c 5.533
_cell_angle_alpha 90.00
_cell_angle_beta 117.30
_cell_angle_gamma 90.00
_space_group_name_H-M_alt 'C 1 m 1'
_space_group_IT_number 8
loop_
_space_group_symop_operation_xyz
'x,y,z'
'x,-y,z'
'x+1/2,y+1/2,z'
'x+1/2,-y+1/2,z'
loop_
_atom_site_label
_atom_site_type_symbol
_atom_site_fract_x
_atom_site_fract_y
_atom_site_fract_z
La1 La 0.000 0.000 0.000
Y1 Y 0.188 0.000 0.685
Y2 Y 0.377 0.000 0.376
Co1 Co 0.185 0.500 0.198
# Density of states at the Fermi level = 8.364 states/eV/cell
# Total energy = -6.277 eV/atom



# Mg5Zr3O12 PBE-GGA relaxed
data_Mg5Zr3O12
_cell_length_a 12.239
_cell_length_b 12.239
_cell_length_c 12.239
_cell_angle_alpha 90.00
_cell_angle_beta 90.00
_cell_angle_gamma 90.00
_space_group_name_H-M_alt 'I a -3 d'
_space_group_IT_number 230
_space_group_name_Hall '-I 4bd 2c 3'
loop_
_atom_site_label
_atom_site_type_symbol
_atom_site_fract_x
_atom_site_fract_y
_atom_site_fract_z
Mg1 Mg 0.000 0.000 0.000
Mg2 Mg 0.000 0.250 0.375
Zr1 Zr 0.000 0.250 0.125
O1 O 0.022 0.070 0.655
# Density of states at the Fermi level = 85.168 states/eV/cell
# Total energy = -7.252 eV/atom